No. 1
Below is a geometry-optimized La4Er3Zn structure, with properties calculated at the PBE level.

Unit cell a=3.724 b=3.724 c=18.621 alpha=90.00 beta=90.00 gamma=90.00
Element x y z (fractional)
La  0.000  0.000  0.100
La  0.000  0.000  0.368
La  0.000  0.000  0.632
La  0.000  0.000  0.900
Er  0.500  0.500  0.237
Er  0.500  0.500  0.500
Er  0.500  0.500  0.763
Zn  0.500  0.500  0.000

Properties
* uncorrected energy: -35.09 eV for the cell shown
* magnetization: 0.00 μB/f.u.
* calculated volume: 258.2 Å³/cell
* space group: P4/mmm, No. 123
* DOS at the Fermi energy: 1.3261 states/eV per atom

No. 2
Below is a geometry-optimized Sc2CoSi2 structure, with properties calculated at the PBE level.

Unit cell a=8.041 b=8.041 c=8.041 alpha=155.78 beta=155.78 gamma=34.51
Element x y z (fractional)
Sc  0.099  0.099  0.000
Sc  0.901  0.901  0.000
Co  0.500  0.500  0.000
Si  0.250  0.750  0.500
Si  0.750  0.250  0.500

Properties
* raw formation energy: -0.1763 eV per atom
* magnetization: 0.30 μB/f.u.
* calculated volume: 87.4 Å³/cell
* space group: I4/mmm, No. 139
* DOS at the Fermi energy: 0.6285 states/eV per atom

No. 3
Below is a geometry-optimized LaZr2Cl structure, with properties calculated at the PBE level.

Unit cell a=6.003 b=6.003 c=3.273 alpha=90.00 beta=90.00 gamma=120.70
Element x y z (fractional)
La  0.000  0.000  0.000
Zr  0.000  0.500  0.500
Zr  0.500  0.000  0.500
Cl  0.500  0.500  0.000

Properties
* raw formation energy: 0.0989 eV per atom
* magnetization: 0.01 μB/f.u.
* ΔE to the lowest computed polymorph: 485 meV/atom
* calculated volume: 101.4 Å³/cell
* space group: Cmmm, No. 65
* DOS at the Fermi energy: 1.2159 states/eV per atom

No. 4
Below is a geometry-optimized Dy4TmS6 structure, with properties calculated at the PBE level.

Unit cell a=6.701 b=6.701 c=19.791 alpha=90.00 beta=90.00 gamma=147.02
Element x y z (fractional)
Dy  0.091  0.909  0.628
Dy  0.091  0.909  0.872
Dy  0.361  0.639  0.540
Dy  0.361  0.639  0.960
Dy  0.639  0.361  0.040
Dy  0.639  0.361  0.460
Dy  0.909  0.091  0.128
Dy  0.909  0.091  0.372
Tm  0.152  0.848  0.250
Tm  0.848  0.152  0.750
S  0.000  0.000  0.000
S  0.000  0.000  0.500
S  0.197  0.803  0.750
S  0.270  0.730  0.089
S  0.270  0.730  0.411
S  0.447  0.553  0.668
S  0.447  0.553  0.832
S  0.553  0.447  0.168
S  0.553  0.447  0.332
S  0.730  0.270  0.589
S  0.730  0.270  0.911
S  0.803  0.197  0.250

Properties
* raw formation energy: -2.0249 eV per atom
* magnetization: 0.00 μB/f.u.
* calculated volume: 483.7 Å³/cell
* space group: Cmcm, No. 63
* DOS at the Fermi energy: 0.2362 states/eV per atom

Question: Look up the magnetization of the third one.
Answer: 0.01 μB/f.u.